The following is a PBE calculation of an optimized crystal structure of CaGaBi2O6, from Alexandria via LeMat-Bulk.

```
data_CaGaBi2O6
_space_group_name_H-M_alt 'R 3'
_space_group_IT_number 146
_space_group_name_Hall 'R 3'
_cell_length_a 5.7220
_cell_length_b 5.7220
_cell_length_c 15.1134
_cell_angle_alpha 90.00
_cell_angle_beta 90.00
_cell_angle_gamma 120.00
loop_
_atom_site_label
_atom_site_type_symbol
_atom_site_fract_x
_atom_site_fract_y
_atom_site_fract_z
Ca1 Ca 0.0000 0.0000 0.0000
Ga1 Ga 0.0000 0.0000 0.4903
Bi1 Bi 0.0000 0.0000 0.2781
Bi2 Bi 0.0000 0.0000 0.7865
O1 O 0.0629 0.6717 0.0622
O2 O 0.0662 0.3354 0.5528
```

## Properties
ΔE_f (raw): -1.6347 eV/atom